Computed, not measured: a relaxed BP2RhC crystal at the PBE level of DFT.

```
data_BP2RhC
_space_group_name_H-M_alt 'P 1'
_space_group_IT_number 1
_cell_length_a 3.0329
_cell_length_b 3.8232
_cell_length_c 5.7475
_cell_angle_alpha 73.64
_cell_angle_beta 77.55
_cell_angle_gamma 81.51
loop_
_space_group_symop_operation_xyz
'x,y,z'
loop_
_atom_site_label
_atom_site_type_symbol
_atom_site_fract_x
_atom_site_fract_y
_atom_site_fract_z
B1 B 0.0000 0.0000 0.0000
P1 P 0.4921 0.2638 0.8843
P2 P 0.9292 0.6490 0.3109
Rh1 Rh 0.4414 0.8609 0.6342
C1 C 0.4385 0.4062 0.4034
```

* E above lowest polymorph: 0.208 eV per atom
* calculated density: 5.012 g cm⁻³
* DFT formation energy: 147 meV/atom
* final energy: -6.67 eV per atom
* calculated volume: 62 Å³/cell